SrLa4Pm3Te8 | PBE | relaxed

Summary:
- DOS(E_F): 0.651 states/eV/atom
- Uncorrected formation energy: -1.527 eV per atom

Unit cell a=9.0971 b=9.0971 c=9.0971 alpha=60.12 beta=60.12 gamma=60.12
With the nearest neighbours (Å) after each atom.
Atoms (fractional coordinates):
Sr (0.0000, 0.0000, 0.0000)  6 Te 3.22
La (0.0000, 0.0000, 0.5000)  6 Te 3.25
La (0.0000, 0.5000, 0.0000)  6 Te 3.25
La (0.5000, 0.0000, 0.0000)  6 Te 3.25
La (0.5000, 0.5000, 0.5000)  6 Te 3.21
Pm (0.0000, 0.5000, 0.5000)  6 Te 3.19
Pm (0.5000, 0.0000, 0.5000)  6 Te 3.19
Pm (0.5000, 0.5000, 0.0000)  6 Te 3.19
Te (0.2504, 0.2504, 0.7447)  2 Pm 3.19, 3 La 3.21-3.25, 1 Sr 3.22
Te (0.2504, 0.7447, 0.2504)  2 Pm 3.19, 3 La 3.21-3.25, 1 Sr 3.22
Te (0.2523, 0.2523, 0.2523)  3 Pm 3.19, 3 La 3.25
Te (0.2553, 0.7496, 0.7496)  2 Pm 3.19, 3 La 3.21-3.25, 1 Sr 3.22
Te (0.7447, 0.2504, 0.2504)  2 Pm 3.19, 3 La 3.21-3.25, 1 Sr 3.22
Te (0.7477, 0.7477, 0.7477)  3 Pm 3.19, 3 La 3.25
Te (0.7496, 0.2553, 0.7496)  2 Pm 3.19, 3 La 3.21-3.25, 1 Sr 3.22
Te (0.7496, 0.7496, 0.2553)  2 Pm 3.19, 3 La 3.21-3.25, 1 Sr 3.22

Ti5Mn2Ga2Cu | PBE | relaxed

Summary:
- ΔH_f (0 K): -98 kJ/mol of formula units
- DOS(E_F): 1.235 states/eV/atom

Unit cell a=10.1053 b=10.1053 c=3.0380 alpha=90.00 beta=90.00 gamma=90.00
With the nearest neighbours (Å) after each atom.
Atoms (fractional coordinates):
Ti (0.0000, 0.5000, 0.0000)  4 Mn 2.45
Ti (0.0752, 0.1996, 0.0000)  2 Mn 2.34
Ti (0.1996, 0.9248, 0.0000)  2 Mn 2.34
Ti (0.3004, 0.4248, 0.0000)  2 Mn 2.34
Ti (0.4248, 0.6996, 0.0000)  2 Mn 2.34
Ti (0.5000, 0.0000, 0.0000)  4 Mn 2.45
Ti (0.5752, 0.3004, 0.0000)  2 Mn 2.34
Ti (0.6996, 0.5752, 0.0000)  2 Mn 2.34
Ti (0.8004, 0.0752, 0.0000)  2 Mn 2.34
Ti (0.9248, 0.8004, 0.0000)  2 Mn 2.34
Mn (0.1343, 0.3657, 0.5000)  6 Ti 2.34-2.45
Mn (0.3657, 0.8657, 0.5000)  6 Ti 2.34-2.45
Mn (0.6343, 0.1343, 0.5000)  6 Ti 2.34-2.45
Mn (0.8657, 0.6343, 0.5000)  6 Ti 2.34-2.45
Ga (0.1713, 0.6713, 0.5000)  3 Mn 2.78-3.11, 6 Ti 2.88-2.99, 2 Ga 3.04
Ga (0.3287, 0.1713, 0.5000)  3 Mn 2.78-3.11, 6 Ti 2.88-2.99, 2 Ga 3.04
Ga (0.6713, 0.8287, 0.5000)  3 Mn 2.78-3.11, 6 Ti 2.88-2.99, 2 Ga 3.04
Ga (0.8287, 0.3287, 0.5000)  3 Mn 2.78-3.11, 6 Ti 2.88-2.99, 2 Ga 3.04
Cu (0.0000, 0.0000, 0.5000)  8 Ti 2.64
Cu (0.5000, 0.5000, 0.5000)  8 Ti 2.64

TlCdOs2 | PBE | relaxed

Summary:
- ΔH_f (0 K): 400 kJ/mol of formula units
- DOS(E_F): 1.100 states/eV/atom

Unit cell a=2.9690 b=4.9951 c=9.5893 alpha=90.00 beta=90.00 gamma=90.00
With the nearest neighbours (Å) after each atom.
Atoms (fractional coordinates):
Tl (0.0000, 0.0000, 0.0000)  4 Os 2.83, 6 Tl 2.91-2.97
Tl (0.5000, 0.5000, 0.0000)  4 Os 2.83, 6 Tl 2.91-2.97
Cd (0.0000, 0.0000, 0.5000)  4 Os 2.81, 6 Cd 2.91-2.97
Cd (0.5000, 0.5000, 0.5000)  4 Os 2.81, 6 Cd 2.91-2.97
Os (0.0000, 0.5000, 0.2509)  2 Cd 2.81, 2 Tl 2.83, 6 Os 2.91-2.97
Os (0.0000, 0.5000, 0.7491)  2 Cd 2.81, 2 Tl 2.83, 6 Os 2.91-2.97
Os (0.5000, 0.0000, 0.2509)  2 Cd 2.81, 2 Tl 2.83, 6 Os 2.91-2.97
Os (0.5000, 0.0000, 0.7491)  2 Cd 2.81, 2 Tl 2.83, 6 Os 2.91-2.97

AgRh | PBE | relaxed

Summary:
- ΔH_f (0 K): 165 kJ/mol of formula units
- DOS(E_F): 1.718 states/eV/atom

Unit cell a=5.2054 b=5.2054 c=5.3409 alpha=90.00 beta=90.00 gamma=90.00
With the nearest neighbours (Å) after each atom.
Atoms (fractional coordinates):
Ag (0.1843, 0.1843, 0.0000)  6 Rh 2.66-2.75, 1 Ag 2.71
Ag (0.3157, 0.6843, 0.5000)  6 Rh 2.66-2.75, 1 Ag 2.71
Ag (0.6843, 0.3157, 0.5000)  6 Rh 2.66-2.75, 1 Ag 2.71
Ag (0.8157, 0.8157, 0.0000)  6 Rh 2.66-2.75, 1 Ag 2.71
Rh (0.1751, 0.1751, 0.5000)  1 Rh 2.58, 6 Ag 2.66-2.75
Rh (0.3249, 0.6751, 0.0000)  1 Rh 2.58, 6 Ag 2.66-2.75
Rh (0.6751, 0.3249, 0.0000)  1 Rh 2.58, 6 Ag 2.66-2.75
Rh (0.8249, 0.8249, 0.5000)  1 Rh 2.58, 6 Ag 2.66-2.75

ZrBeSbPd2 | PBE | relaxed

Summary:
- DOS(E_F): 0.621 states/eV/atom
- Uncorrected formation energy: -0.175 eV per atom

Unit cell a=4.2622 b=4.2622 c=4.8906 alpha=90.00 beta=90.00 gamma=90.00
With the nearest neighbours (Å) after each atom.
Atoms (fractional coordinates):
Zr (0.0000, 0.0000, 0.0000)  4 Sb 3.01, 8 Pd 3.24
Be (0.5000, 0.5000, 0.5000)  4 Pd 2.13
Sb (0.5000, 0.5000, 0.0000)  2 Be 2.45
Pd (0.0000, 0.5000, 0.5000)  2 Be 2.13
Pd (0.5000, 0.0000, 0.5000)  2 Be 2.13

CdOsCl2 | PBE | relaxed

Summary:
- DOS(E_F): 1.207 states/eV/atom
- Uncorrected formation energy: 0.916 eV per atom
- Offset from the most stable computed form: 871.0 meV per atom

Unit cell a=3.7521 b=3.7521 c=11.1733 alpha=90.00 beta=90.00 gamma=90.00
With the nearest neighbours (Å) after each atom.
Atoms (fractional coordinates):
Cd (0.0000, 0.0000, 0.0000)  4 Cl 2.65
Cd (0.5000, 0.5000, 0.5000)  4 Cl 2.65
Os (0.0000, 0.5000, 0.2500)  4 Cl 2.65
Os (0.5000, 0.0000, 0.7500)  4 Cl 2.65
Cl (0.0000, 0.0000, 0.5000)  4 Cd 2.65
Cl (0.0000, 0.5000, 0.7500)  4 Os 2.65
Cl (0.5000, 0.0000, 0.2500)  4 Os 2.65
Cl (0.5000, 0.5000, 0.0000)  4 Cd 2.65

La4TbTm3Te8 | PBE | relaxed

Summary:
- DOS(E_F): 0.713 states/eV/atom
- Uncorrected formation energy: -1.407 eV per atom

Unit cell a=9.0213 b=9.0213 c=9.0213 alpha=58.26 beta=58.26 gamma=58.26
With the nearest neighbours (Å) after each atom.
Atoms (fractional coordinates):
La (0.0000, 0.0000, 0.0000)  6 Te 3.22
La (0.0000, 0.5000, 0.5000)  6 Te 3.25
La (0.5000, 0.0000, 0.5000)  6 Te 3.25
La (0.5000, 0.5000, 0.0000)  6 Te 3.25
Tb (0.5000, 0.5000, 0.5000)  6 Te 3.08
Tm (0.0000, 0.0000, 0.5000)  6 Te 3.05
Tm (0.0000, 0.5000, 0.0000)  6 Te 3.05
Tm (0.5000, 0.0000, 0.0000)  6 Te 3.05
Te (0.2401, 0.7449, 0.7449)  2 Tm 3.05, 1 Tb 3.08, 3 La 3.22-3.25
Te (0.2426, 0.2426, 0.2426)  3 Tm 3.05, 3 La 3.25
Te (0.2551, 0.2551, 0.7599)  2 Tm 3.05, 1 Tb 3.08, 3 La 3.22-3.25
Te (0.2551, 0.7599, 0.2551)  2 Tm 3.05, 1 Tb 3.08, 3 La 3.22-3.25
Te (0.7449, 0.2401, 0.7449)  2 Tm 3.05, 1 Tb 3.08, 3 La 3.22-3.25
Te (0.7449, 0.7449, 0.2401)  2 Tm 3.05, 1 Tb 3.08, 3 La 3.22-3.25
Te (0.7574, 0.7574, 0.7574)  3 Tm 3.05, 3 La 3.25
Te (0.7599, 0.2551, 0.2551)  2 Tm 3.05, 1 Tb 3.08, 3 La 3.22-3.25

HoTh2UC4 | PBE | relaxed

Summary:
- ΔH_f (0 K): -181 kJ/mol of formula units
- DOS(E_F): 0.692 states/eV/atom

Unit cell a=6.2694 b=3.6784 c=6.3523 alpha=90.00 beta=109.32 gamma=90.00
With the nearest neighbours (Å) after each atom.
Atoms (fractional coordinates):
Ho (0.0000, 0.0000, 0.0000)  6 C 2.56-2.59
Th (0.0000, 0.5000, 0.5000)  6 C 2.73-2.77
Th (0.5000, 0.0000, 0.5000)  6 C 2.60-2.61
U (0.5000, 0.5000, 0.0000)  6 C 2.38-2.46
C (0.2672, 0.5000, 0.2301)  1 U 2.38, 2 Ho 2.59, 2 Th 2.61
C (0.2754, 0.0000, 0.7790)  2 U 2.46, 1 Ho 2.56, 3 Th 2.60-2.73
C (0.7246, 0.0000, 0.2210)  2 U 2.46, 1 Ho 2.56, 3 Th 2.60-2.73
C (0.7328, 0.5000, 0.7699)  1 U 2.38, 2 Ho 2.59, 2 Th 2.61